1.
A plane-wave DFT calculation with PBE was carried out for a relaxed Mg2Zn5Co2Ni crystal.

VASP energy (hartree per atom): -0.111
SG: P4/mbm, No. 127
Energy relative to the elements (eV/atom): -0.068

a b c (Å): 8.874 8.874 3.679
angles (deg): 90.00 90.00 90.00
Element x y z (fractional)
Mg (0.173, 0.327, 0.000)
Mg (0.327, 0.827, 0.000)
Mg (0.673, 0.173, 0.000)
Mg (0.827, 0.673, 0.000)
Zn (0.000, 0.500, 0.500)
Zn (0.069, 0.802, 0.500)
Zn (0.198, 0.069, 0.500)
Zn (0.302, 0.569, 0.500)
Zn (0.431, 0.302, 0.500)
Zn (0.500, 0.000, 0.500)
Zn (0.569, 0.698, 0.500)
Zn (0.698, 0.431, 0.500)
Zn (0.802, 0.931, 0.500)
Zn (0.931, 0.198, 0.500)
Co (0.123, 0.623, 0.000)
Co (0.377, 0.123, 0.000)
Co (0.623, 0.877, 0.000)
Co (0.877, 0.377, 0.000)
Ni (0.000, 0.000, 0.000)
Ni (0.500, 0.500, 0.000)


2.
A plane-wave DFT calculation with PBE was carried out for a relaxed LiLaCr2 crystal.

Polymorph energy (0 for the lowest one) (meV per atom): 312
VASP energy (hartree per atom): -0.214
SG: Fm-3m, No. 225
Energy relative to the elements (eV/atom): 0.698

a b c (Å): 4.994 4.994 4.994
angles (deg): 60.00 60.00 60.00
Element x y z (fractional)
Li (0.000, 0.000, 0.000)
La (0.500, 0.500, 0.500)
Cr (0.250, 0.250, 0.250)
Cr (0.750, 0.750, 0.750)


The lowest energy relative to the elements belongs to which entry?
Mg2Zn5Co2Ni


VASP energy of number 1 (Mg2Zn5Co2Ni)?
-0.111 hartree per atom


VASP energy of number 2 (LiLaCr2)?
-0.214 hartree per atom


What did the first record say?
A plane-wave DFT calculation with PBE was carried out for a relaxed Mg2Zn5Co2Ni crystal.

VASP energy (hartree per atom): -0.111
SG: P4/mbm, No. 127
Energy relative to the elements (eV/atom): -0.068

a b c (Å): 8.874 8.874 3.679
angles (deg): 90.00 90.00 90.00
Element x y z (fractional)
Mg (0.173, 0.327, 0.000)
Mg (0.327, 0.827, 0.000)
Mg (0.673, 0.173, 0.000)
Mg (0.827, 0.673, 0.000)
Zn (0.000, 0.500, 0.500)
Zn (0.069, 0.802, 0.500)
Zn (0.198, 0.069, 0.500)
Zn (0.302, 0.569, 0.500)
Zn (0.431, 0.302, 0.500)
Zn (0.500, 0.000, 0.500)
Zn (0.569, 0.698, 0.500)
Zn (0.698, 0.431, 0.500)
Zn (0.802, 0.931, 0.500)
Zn (0.931, 0.198, 0.500)
Co (0.123, 0.623, 0.000)
Co (0.377, 0.123, 0.000)
Co (0.623, 0.877, 0.000)
Co (0.877, 0.377, 0.000)
Ni (0.000, 0.000, 0.000)
Ni (0.500, 0.500, 0.000)